DFT (PBE) results for a relaxed CaAcPd3 crystal.

* DFT formation energy: -71.6 kJ per mole of atoms
* space-group type: No. 63

Cell lengths 4.5031, 4.0347, 13.4980 Å; angles 98.60, 90.00, 90.00 degrees
Atoms (fractional coordinates):
Ca (0.2500, 0.7930, 0.5860)
Pd (0.7500, 0.3191, 0.6383)
Pd (0.7500, 0.6247, 0.2494)
Pd (0.2500, 0.4739, 0.9479)
Ac (0.2500, 0.0762, 0.1524)
Pd (0.2500, 0.6809, 0.3617)
Pd (0.7500, 0.5261, 0.0521)
Ac (0.7500, 0.9238, 0.8476)
Ca (0.7500, 0.2070, 0.4140)
Pd (0.2500, 0.3753, 0.7506)

DFT (PBE) results for a relaxed TaP2Os crystal.

* E above lowest polymorph: 0.1 meV/atom
* DFT formation energy: -30.6 kJ per mole of atoms
* space-group type: No. 8

Cell lengths 4.5403, 4.5403, 4.4758 Å; angles 75.42, 75.42, 40.00 degrees
Atoms (fractional coordinates):
P (0.7513, 0.7513, 0.7161)
Ta (0.4952, 0.4952, 0.5647)
Os (0.2590, 0.2590, 0.1714)
P (0.9944, 0.9944, 0.0479)

DFT (PBE) results for a relaxed AlTl2Ir crystal.

* E above lowest polymorph: 522.9 meV/atom
* DFT formation energy: 44.1 kJ per mole of atoms
* space-group type: No. 119

Cell lengths 5.1437, 5.1437, 5.1437 Å; angles 128.37, 128.37, 76.03 degrees
Atoms (fractional coordinates):
Al (0.5000, 0.5000, 0.0000)
Tl (0.0000, 0.0000, 0.0000)
Tl (0.2500, 0.7500, 0.5000)
Ir (0.7500, 0.2500, 0.5000)

DFT (PBE) results for a relaxed Mg2Ge2W crystal.

* DFT formation energy: 11.8 kJ per mole of atoms
* space-group type: No. 127

Cell lengths 6.7750, 6.7750, 3.8947 Å; angles 90.00, 90.00, 90.00 degrees
Atoms (fractional coordinates):
Ge (0.1417, 0.3583, 0.0000)
Mg (0.3310, 0.1690, 0.5000)
Ge (0.8583, 0.6417, 0.0000)
Ge (0.6417, 0.1417, 0.0000)
W (0.0000, 0.0000, 0.0000)
W (0.5000, 0.5000, 0.0000)
Ge (0.3583, 0.8583, 0.0000)
Mg (0.8310, 0.3310, 0.5000)
Mg (0.6690, 0.8310, 0.5000)
Mg (0.1690, 0.6690, 0.5000)

DFT (PBE) results for a relaxed Ag2HgCl crystal.

* E above lowest polymorph: 27.3 meV/atom
* formation energy (no corrections): -122 meV per atom
* space-group type: No. 10

Cell lengths 3.7127, 3.7985, 6.6870 Å; angles 89.53, 90.00, 90.00 degrees
Atoms (fractional coordinates):
Ag (0.0000, 0.2469, 0.9554)
Ag (0.0000, 0.2531, 0.5446)
Cl (0.5000, 0.2500, 0.2500)
Hg (0.5000, 0.7500, 0.7500)

DFT (PBE) results for a relaxed VSiSe2 crystal.

* formation energy (no corrections): -186 meV per atom
* space-group type: No. 166

Cell lengths 8.8624, 8.8624, 8.8624 Å; angles 21.07, 21.07, 21.07 degrees
Atoms (fractional coordinates):
V (0.5000, 0.5000, 0.5000)
Se (0.8954, 0.8954, 0.8954)
Si (0.0000, 0.0000, 0.0000)
Se (0.1046, 0.1046, 0.1046)

DFT (PBE) results for a relaxed La2Tb3TmAs6 crystal.

* DFT formation energy: -147.3 kJ per mole of atoms
* space-group type: No. 12

Cell lengths 4.2109, 8.4193, 9.4084 Å; angles 102.98, 102.93, 90.00 degrees
Atoms (fractional coordinates):
As (0.3360, 0.4099, 0.6721)
Tm (0.5000, 0.0000, 0.0000)
Tb (0.5000, 0.5000, 0.0000)
As (0.6648, 0.0735, 0.3297)
Tb (0.1671, 0.8344, 0.3343)
La (0.8351, 0.6696, 0.6702)
As (0.3352, 0.9265, 0.6703)
As (0.6640, 0.5901, 0.3279)
La (0.1649, 0.3304, 0.3298)
Tb (0.8329, 0.1656, 0.6657)
As (0.9965, 0.2445, 0.9931)
As (0.0035, 0.7555, 0.0069)

DFT (PBE) results for a relaxed K3Na2RhF9 crystal.

* formation energy (no corrections): -2386 meV per atom
* space-group type: No. 164

Cell lengths 6.1195, 6.1195, 7.5739 Å; angles 90.00, 90.00, 120.00 degrees
Site moments in Bohr magnetons follow the coordinates.
Atoms (fractional coordinates):
F (0.8495, 0.1505, 0.6496)  0.04
Na (0.6667, 0.3333, 0.8281)  0.00
F (0.1505, 0.3009, 0.3504)  0.04
Rh (0.0000, 0.0000, 0.5000)  0.63
F (0.8495, 0.6991, 0.6496)  0.04
F (0.6991, 0.8495, 0.3504)  0.04
K (0.6667, 0.3333, 0.2594)  0.00
K (0.0000, 0.0000, 0.0000)  0.00
F (0.1505, 0.8495, 0.3504)  0.04
F (0.0000, 0.5000, 0.0000)  0.06
Na (0.3333, 0.6667, 0.1719)  0.00
F (0.5000, 0.5000, 0.0000)  0.06
F (0.5000, 0.0000, 0.0000)  0.06
F (0.3009, 0.1505, 0.6496)  0.04
K (0.3333, 0.6667, 0.7406)  0.00

DFT (PBE) results for a relaxed Ca3Ga8Pt3 crystal.

* E above lowest polymorph: 0.0 meV/atom
* DFT formation energy: -67.0 kJ per mole of atoms
* space-group type: No. 12

Cell lengths 4.4418, 8.1946, 8.3494 Å; angles 66.87, 74.57, 74.28 degrees
Atoms (fractional coordinates):
Ga (0.6538, 0.9741, 0.7183)
Pt (0.6521, 0.6971, 0.9987)
Ga (0.8617, 0.8517, 0.4249)
Ga (0.1383, 0.1483, 0.5751)
Pt (0.3479, 0.3029, 0.0013)
Ga (0.1483, 0.5615, 0.1419)
Ca (0.7119, 0.2817, 0.2945)
Ca (0.0000, 0.0000, 0.0000)
Pt (0.0000, 0.5000, 0.5000)
Ga (0.4969, 0.3330, 0.6732)
Ga (0.8517, 0.4385, 0.8581)
Ca (0.2881, 0.7183, 0.7055)
Ga (0.3462, 0.0259, 0.2817)
Ga (0.5031, 0.6670, 0.3268)

DFT (PBE) results for a relaxed AlInGa3 crystal.

* E above lowest polymorph: 236.1 meV/atom
* DFT formation energy: 28.1 kJ per mole of atoms
* space-group type: No. 221

Cell lengths 5.0021, 5.0021, 5.0021 Å; angles 90.00, 90.00, 90.00 degrees
Atoms (fractional coordinates):
In (0.5000, 0.5000, 0.5000)
Ga (0.0000, 0.5000, 0.0000)
Ga (0.0000, 0.0000, 0.5000)
Al (0.0000, 0.0000, 0.0000)
Ga (0.5000, 0.0000, 0.0000)

DFT (PBE) results for a relaxed LiDyAl2Pt4 crystal.

* DFT formation energy: -99.8 kJ per mole of atoms
* space-group type: No. 166

Cell lengths 4.2795, 4.2795, 8.6541 Å; angles 75.68, 75.68, 60.00 degrees
Atoms (fractional coordinates):
Al (0.2376, 0.2376, 0.2872)
Li (0.5000, 0.5000, 0.5000)
Pt (0.5987, 0.5987, 0.2038)
Al (0.7624, 0.7624, 0.7128)
Pt (0.1312, 0.1312, 0.6065)
Pt (0.8688, 0.8688, 0.3935)
Dy (0.0000, 0.0000, 0.0000)
Pt (0.4013, 0.4013, 0.7962)

DFT (PBE) results for a relaxed GeRu2I crystal.

* E above lowest polymorph: 24.5 meV/atom
* formation energy (no corrections): 648 meV per atom
* space-group type: No. 122

Cell lengths 5.6004, 5.6004, 7.1937 Å; angles 67.09, 67.09, 90.00 degrees
Atoms (fractional coordinates):
Ru (0.8750, 0.8455, 0.7500)
Ge (0.5000, 0.5000, 0.0000)
Ru (0.1545, 0.6250, 0.2500)
Ru (0.3750, 0.4045, 0.7500)
Ge (0.2500, 0.7500, 0.5000)
I (0.7500, 0.2500, 0.5000)
I (0.0000, 0.0000, 0.0000)
Ru (0.5955, 0.1250, 0.2500)

DFT (PBE) results for a relaxed PuTh2Sn9 crystal.

* DFT formation energy: -40.8 kJ per mole of atoms
* space-group type: No. 123

Cell lengths 4.7308, 4.7308, 14.1325 Å; angles 90.00, 90.00, 90.00 degrees
Site moments in Bohr magnetons follow the coordinates.
Atoms (fractional coordinates):
Sn (0.5000, 0.0000, 0.5000)  0.00
Th (0.0000, 0.0000, 0.6680)  -0.03
Sn (0.5000, 0.5000, 0.3302)  0.01
Sn (0.5000, 0.0000, 0.8379)  -0.01
Th (0.0000, 0.0000, 0.3320)  -0.03
Sn (0.5000, 0.5000, 0.0000)  -0.02
Pu (0.0000, 0.0000, 0.0000)  5.33
Sn (0.0000, 0.5000, 0.8379)  -0.01
Sn (0.0000, 0.5000, 0.5000)  0.00
Sn (0.5000, 0.5000, 0.6698)  0.01
Sn (0.0000, 0.5000, 0.1621)  -0.01
Sn (0.5000, 0.0000, 0.1621)  -0.01

DFT (PBE) results for a relaxed Er2Sc3Ru2 crystal.

* DFT formation energy: -37.4 kJ per mole of atoms
* space-group type: No. 12

Cell lengths 3.8571, 5.8493, 8.0123 Å; angles 112.55, 90.00, 109.25 degrees
Atoms (fractional coordinates):
Ru (0.1645, 0.3290, 0.2181)
Sc (0.6258, 0.2515, 0.4288)
Sc (0.5000, 0.0000, 0.0000)
Sc (0.3742, 0.7485, 0.5712)
Er (0.8439, 0.6879, 0.1990)
Er (0.1561, 0.3121, 0.8010)
Ru (0.8355, 0.6710, 0.7819)

DFT (PBE) results for a relaxed YAl2Au9 crystal.

* DFT formation energy: -33.4 kJ per mole of atoms
* space-group type: No. 141

Cell lengths 6.8766, 8.8367, 8.8367 Å; angles 81.29, 67.10, 67.10 degrees
Atoms (fractional coordinates):
Au (0.1430, 0.1961, 0.4413)
Au (0.7804, 0.8039, 0.5587)
Au (0.6070, 0.0587, 0.3039)
Au (0.0891, 0.9413, 0.3039)
Au (0.3343, 0.0587, 0.6961)
Al (0.8750, 0.2500, 0.7500)
Al (0.3750, 0.7500, 0.7500)
Au (0.9696, 0.9413, 0.6961)
Au (0.3343, 0.6961, 0.0587)
Au (0.1430, 0.4413, 0.1961)
Au (0.7804, 0.5587, 0.8039)
Au (0.6609, 0.5587, 0.1961)
Y (0.5000, 0.0000, 0.0000)
Au (0.0000, 0.0000, 0.0000)
Au (0.0891, 0.3039, 0.9413)
Au (0.4157, 0.4413, 0.8039)
Au (0.7500, 0.5000, 0.5000)
Au (0.6070, 0.3039, 0.0587)
Au (0.6609, 0.1961, 0.5587)
Au (0.9696, 0.6961, 0.9413)
Al (0.8750, 0.7500, 0.2500)
Y (0.2500, 0.5000, 0.5000)
Al (0.8750, 0.2500, 0.2500)
Au (0.4157, 0.8039, 0.4413)

DFT (PBE) results for a relaxed YIn2Cu crystal.

* DFT formation energy: -23.5 kJ per mole of atoms
* space-group type: No. 166

Cell lengths 4.4761, 4.4761, 5.9537 Å; angles 67.92, 67.92, 59.92 degrees
Atoms (fractional coordinates):
In (0.5301, 0.5301, 0.4095)
Y (0.7500, 0.7500, 0.7500)
In (0.9699, 0.9699, 0.0905)
Cu (0.2500, 0.2500, 0.2500)

DFT (PBE) results for a relaxed Pr4SiTe2S crystal.

* formation energy (no corrections): -1459 meV per atom
* space-group type: No. 10

Cell lengths 4.3303, 7.4518, 7.7945 Å; angles 108.86, 90.00, 90.00 degrees
Atoms (fractional coordinates):
Si (0.5000, 0.5000, 0.0000)
Pr (0.0000, 0.7391, 0.2196)
Pr (0.5000, 0.7591, 0.7843)
Pr (0.5000, 0.2409, 0.2157)
Pr (0.0000, 0.2609, 0.7804)
S (0.0000, 0.0000, 0.0000)
Te (0.0000, 0.5000, 0.5000)
Te (0.5000, 0.0000, 0.5000)

DFT (PBE) results for a relaxed Ac3Ge crystal.

* E above lowest polymorph: 295.6 meV/atom
* DFT formation energy: -7.2 kJ per mole of atoms
* space-group type: No. 25

Cell lengths 3.9588, 5.7001, 6.4422 Å; angles 90.00, 90.00, 90.00 degrees
Atoms (fractional coordinates):
Ac (0.0000, 0.5000, 0.3107)
Ge (0.0000, 0.0000, 0.0096)
Ac (0.5000, 0.0000, 0.4811)
Ac (0.5000, 0.5000, 0.8652)

DFT (PBE) results for a relaxed LaCuNi2 crystal.

* DFT formation energy: -21.4 kJ per mole of atoms
* space-group type: No. 62

Cell lengths 4.0509, 6.9211, 9.8756 Å; angles 90.00, 90.00, 90.00 degrees
Atoms (fractional coordinates):
Ni (0.2500, 0.9366, 0.0716)
La (0.7500, 0.7314, 0.3136)
Ni (0.7500, 0.0634, 0.9284)
La (0.2500, 0.2686, 0.6864)
Cu (0.7500, 0.9399, 0.5817)
La (0.2500, 0.7686, 0.8136)
Ni (0.2500, 0.7487, 0.5405)
Ni (0.2500, 0.2487, 0.9595)
Cu (0.2500, 0.5601, 0.0817)
Ni (0.7500, 0.7513, 0.0405)
Ni (0.7500, 0.2513, 0.4595)
Ni (0.7500, 0.5634, 0.5716)
Cu (0.2500, 0.0601, 0.4183)
Ni (0.2500, 0.4366, 0.4284)
Cu (0.7500, 0.4399, 0.9183)
La (0.7500, 0.2314, 0.1864)

DFT (PBE) results for a relaxed CeErSiAg crystal.

* formation energy (no corrections): -349 meV per atom
* space-group type: No. 216

Cell lengths 5.0928, 5.0928, 5.0928 Å; angles 60.00, 60.00, 60.00 degrees
Site moments in Bohr magnetons follow the coordinates.
Atoms (fractional coordinates):
Er (0.7500, 0.7500, 0.7500)  0.20
Si (0.0000, 0.0000, 0.0000)  -0.01
Ce (0.2500, 0.2500, 0.2500)  0.84
Ag (0.5000, 0.5000, 0.5000)  0.03

DFT (PBE) results for a relaxed SiGeP2 crystal.

* E above lowest polymorph: 480.6 meV/atom
* formation energy (no corrections): 523 meV per atom
* space-group type: No. 166

Cell lengths 3.7854, 3.7854, 7.2201 Å; angles 74.80, 74.80, 60.00 degrees
Atoms (fractional coordinates):
Ge (0.5000, 0.5000, 0.5000)
Si (0.0000, 0.0000, 0.0000)
P (0.1035, 0.1035, 0.6896)
P (0.8965, 0.8965, 0.3104)

DFT (PBE) results for a relaxed LiPmZn4 crystal.

* E above lowest polymorph: 0.0 meV/atom
* DFT formation energy: -22.7 kJ per mole of atoms
* space-group type: No. 216

Cell lengths 5.3806, 5.3806, 5.3806 Å; angles 60.00, 60.00, 60.00 degrees
Atoms (fractional coordinates):
Zn (0.6246, 0.6246, 0.1263)
Pm (0.0000, 0.0000, 0.0000)
Zn (0.1263, 0.6246, 0.6246)
Zn (0.6246, 0.1263, 0.6246)
Li (0.2500, 0.2500, 0.2500)
Zn (0.6246, 0.6246, 0.6246)

DFT (PBE) results for a relaxed Tb3Pm7Pr2 crystal.

* E above lowest polymorph: 0.0 meV/atom
* DFT formation energy: 6.5 kJ per mole of atoms
* space-group type: No. 10

Cell lengths 3.5847, 6.4800, 18.2979 Å; angles 75.36, 90.00, 90.00 degrees
Atoms (fractional coordinates):
Tb (0.5000, 0.5000, 0.0000)
Pr (0.5000, 0.6130, 0.3291)
Pm (0.5000, 0.0599, 0.1682)
Pm (0.0000, 0.4405, 0.8359)
Tb (0.0000, 0.1126, 0.3407)
Pm (0.0000, 0.5595, 0.1641)
Pr (0.5000, 0.3870, 0.6709)
Tb (0.0000, 0.8874, 0.6593)
Pm (0.5000, 0.7602, 0.4976)
Pm (0.5000, 0.2398, 0.5024)
Pm (0.5000, 0.9401, 0.8318)
Pm (0.0000, 0.0000, 0.0000)

DFT (PBE) results for a relaxed CeMg crystal.

* DFT formation energy: 2.6 kJ per mole of atoms
* space-group type: No. 187

Cell lengths 3.1070, 3.1070, 5.9582 Å; angles 90.00, 90.00, 120.00 degrees
Atoms (fractional coordinates):
Ce (0.0000, 0.0000, 0.5000)
Mg (0.6667, 0.3333, 0.0000)